Compound: Tm2TlOsO8
Source: Alexandria
Functional: PBE
Structure: optimized geometry

- Formation energy from raw total energies: -1.987 eV per atom
- Crystal system: orthorhombic
- DOS at the Fermi energy: 4.13 states/eV per cell

a = 4.8880 Å, b = 4.8880 Å, c = 6.9678 Å
α = 90.00°, β = 90.00°, γ = 92.19°
Last column: nearest neighbours and their distance in Å.
Positions (direct):
Tm 0.0000 0.0000 0.2480  6 O 2.19-2.28
Tm 0.0000 0.0000 0.7520  6 O 2.19-2.28
Tl 0.5000 0.5000 0.5000  2 O 2.08
Os 0.5000 0.5000 0.0000  6 O 1.90-1.91
O 0.1930 0.1930 0.5000  1 Tl 2.08, 2 Tm 2.19
O 0.2203 0.2203 0.0000  1 Os 1.90
O 0.3130 0.6870 0.1981  1 Os 1.91
O 0.3130 0.6870 0.8019  1 Os 1.91
O 0.6870 0.3130 0.1981  1 Os 1.91
O 0.6870 0.3130 0.8019  1 Os 1.91
O 0.7797 0.7797 0.0000  1 Os 1.90
O 0.8070 0.8070 0.5000  1 Tl 2.08, 2 Tm 2.19